[1]
Density functional theory data (PBE-GGA) for La3Te after structural relaxation.

```
La3Te
1.0
6.344 0.005 0.000
2.599 5.787 0.000
-4.471 -2.896 3.444
La Te
3 1
direct
0.500 0.500 0.000
0.750 0.250 0.500
0.250 0.750 0.500
0.000 0.000 0.000
```

## Properties
For the density of states at the Fermi level, the calculation gives 1.18 states/eV per atom. The calculation puts the uncorrected formation energy at -0.57 eV/atom. The density is 7.2 g/cm³.

[2]
Density functional theory data (PBE-GGA) for OsRu3 after structural relaxation.

```
OsRu3
1.0
-0.679 2.222 3.618
-5.385 0.010 -1.017
-3.155 -4.058 1.900
Os Ru
2 6
direct
0.750 0.667 0.667
0.250 0.333 0.333
0.250 0.833 0.833
0.750 0.167 0.666
0.750 0.666 0.167
0.250 0.833 0.334
0.250 0.334 0.833
0.750 0.167 0.167
```

## Properties
For the density of states at the Fermi level, the calculation gives 0.87 states/eV per atom. For the formation energy, the calculation gives -0.0068 eV/atom. The density is 14.7 g/cm³.

[3]
Density functional theory data (PBE-GGA) for Zn2OsRu after structural relaxation.

```
Zn2OsRu
1.0
-0.214 3.102 -3.081
-1.621 -1.566 -1.464
-4.065 1.729 2.024
Os Zn Ru
1 2 1
direct
0.500 0.250 0.250
0.000 0.002 0.997
0.000 0.498 0.503
0.500 0.750 0.750
```

## Properties
For the density of states at the Fermi level, the calculation gives 0.76 states/eV per atom. For the formation energy, the calculation gives 0.2189 eV/atom. The density is 12.3 g/cm³.

[4]
Density functional theory data (PBE-GGA) for Tb2NdYTm5 after structural relaxation.

```
Tb2NdYTm5
1.0
-3.352 -7.502 -3.230
-3.084 -2.070 8.010
-3.091 8.264 -3.921
Y Tm Tb Nd
2 10 4 2
direct
0.250 0.750 0.500
0.750 0.250 0.500
0.661 0.161 0.734
0.074 0.574 0.734
0.500 0.500 0.000
0.339 0.839 0.266
0.161 0.074 0.734
0.000 0.000 0.000
0.839 0.926 0.266
0.574 0.661 0.734
0.926 0.426 0.266
0.426 0.339 0.266
0.613 0.113 0.000
0.887 0.613 0.000
0.113 0.387 0.000
0.387 0.887 0.000
0.750 0.750 0.500
0.250 0.250 0.500
```

## Properties
For the density of states at the Fermi level, the calculation gives 1.21 states/eV per atom. For the formation energy, the calculation gives 0.2822 eV/atom. The density is 8.1 g/cm³.

[5]
Density functional theory data (PBE-GGA) for Ac12Si3Te5 after structural relaxation.

```
Ac12Si3Te5
1.0
16.520 0.000 0.000
-5.507 15.575 0.000
-5.507 -7.787 13.488
Si Ac Te
12 48 20
direct
0.625 0.250 0.375
0.250 0.125 0.375
0.625 0.375 0.750
0.750 0.875 0.625
0.125 0.250 0.875
0.125 0.875 0.750
0.250 0.625 0.875
0.875 0.750 0.125
0.375 0.625 0.250
0.750 0.375 0.125
0.875 0.125 0.250
0.375 0.750 0.625
0.101 0.170 0.230
0.569 0.940 0.670
0.601 0.871 0.431
0.371 0.940 0.770
0.871 0.270 0.440
0.129 0.399 0.069
0.670 0.230 0.601
0.431 0.371 0.601
0.830 0.931 0.060
0.440 0.770 0.871
0.899 0.830 0.770
0.230 0.560 0.629
0.399 0.129 0.569
0.330 0.770 0.399
0.371 0.431 0.101
0.230 0.670 0.101
0.770 0.330 0.899
0.871 0.601 0.931
0.399 0.270 0.330
0.940 0.371 0.270
0.270 0.871 0.940
0.330 0.560 0.431
0.830 0.899 0.270
0.770 0.440 0.371
0.129 0.730 0.560
0.730 0.601 0.170
0.899 0.069 0.629
0.560 0.230 0.129
0.060 0.629 0.730
0.440 0.670 0.069
0.431 0.060 0.330
0.270 0.399 0.830
0.940 0.569 0.170
0.069 0.899 0.129
0.629 0.569 0.899
0.170 0.069 0.940
0.569 0.629 0.399
0.101 0.931 0.371
0.931 0.830 0.560
0.560 0.330 0.931
0.060 0.431 0.830
0.601 0.730 0.670
0.730 0.129 0.060
0.629 0.060 0.230
0.069 0.170 0.440
0.670 0.440 0.569
0.170 0.101 0.730
0.931 0.101 0.871
0.500 0.500 0.000
0.750 0.625 0.375
0.250 0.875 0.125
0.375 0.125 0.750
0.500 0.000 0.000
0.500 0.000 0.500
0.000 0.500 0.000
0.875 0.625 0.750
0.625 0.875 0.250
0.000 0.000 0.500
0.000 0.000 0.000
0.625 0.750 0.875
0.750 0.125 0.875
0.125 0.750 0.375
0.375 0.250 0.125
0.875 0.250 0.625
0.125 0.375 0.250
0.500 0.500 0.500
0.250 0.375 0.625
0.000 0.500 0.500
```

## Properties
For the density of states at the Fermi level, the calculation gives 1.35 states/eV per atom. The calculation puts the uncorrected formation energy at -0.44 eV/atom. The density is 6.6 g/cm³.

[6]
Density functional theory data (PBE-GGA) for LuZr2Re after structural relaxation.

```
LuZr2Re
1.0
-1.517 -2.897 0.734
1.010 -1.271 -2.932
6.612 -2.599 3.404
Zr Re Lu
2 1 1
direct
0.000 0.000 0.200
0.000 0.000 0.800
0.500 0.500 0.000
0.500 0.500 0.500
```

## Properties
For the density of states at the Fermi level, the calculation gives 1.41 states/eV per atom. For the formation energy, the calculation gives -0.0254 eV/atom. The density is 10.2 g/cm³.

[7]
Density functional theory data (PBE-GGA) for Na2PaTe4Pd after structural relaxation.

```
Na2PaTe4Pd
1.0
-1.088 1.395 -4.063
-1.356 -6.483 -1.863
-6.853 3.246 2.950
Na Pd Te Pa
2 1 4 1
direct
0.000 0.500 0.500
0.500 0.000 0.500
0.000 0.000 0.000
0.500 0.764 0.777
0.000 0.762 0.221
0.000 0.238 0.779
0.500 0.236 0.223
0.500 0.500 0.000
```

## Properties
For the density of states at the Fermi level, the calculation gives 0.62 states/eV per atom. The calculation puts the uncorrected formation energy at -0.71 eV/atom. The density is 6.3 g/cm³.

[8]
Density functional theory data (PBE-GGA) for KSr3Ga after structural relaxation.

```
KSr3Ga
1.0
6.845 0.000 0.000
0.000 6.845 0.000
0.000 0.000 6.845
Sr K Ga
3 1 1
direct
0.500 0.000 0.000
0.000 0.000 0.500
0.000 0.500 0.000
0.000 0.000 0.000
0.500 0.500 0.500
```

## Properties
For the density of states at the Fermi level, the calculation gives 2.44 states/eV per atom. For the formation energy, the calculation gives 0.8650 eV/atom. The density is 1.9 g/cm³.

[9]
Density functional theory data (PBE-GGA) for NpCdPbAu after structural relaxation.

```
NpCdPbAu
1.0
5.158 0.000 0.000
2.579 4.467 0.000
2.579 1.489 4.211
Cd Pb Au Np
1 1 1 1
direct
0.250 0.250 0.250
0.500 0.500 0.500
0.000 0.000 0.000
0.750 0.750 0.750
```

## Properties
For the density of states at the Fermi level, the calculation gives 2.28 states/eV per atom. For the formation energy, the calculation gives 0.0417 eV/atom. The density is 12.9 g/cm³.

[10]
Density functional theory data (PBE-GGA) for RbHg2Sb2 after structural relaxation.

```
RbHg2Sb2
1.0
9.405 0.000 0.000
0.000 9.405 0.000
0.000 0.000 3.517
Sb Hg Rb
4 4 2
direct
0.117 0.383 0.000
0.883 0.617 0.000
0.617 0.117 0.000
0.383 0.883 0.000
0.827 0.327 0.500
0.173 0.673 0.500
0.673 0.827 0.500
0.327 0.173 0.500
0.500 0.500 0.000
0.000 0.000 0.000
```

## Properties
For the density of states at the Fermi level, the calculation gives 0.66 states/eV per atom. The calculation puts the uncorrected formation energy at -0.02 eV/atom. The density is 7.8 g/cm³.

[11]
Density functional theory data (PBE-GGA) for Ta2Cd after structural relaxation.

```
Ta2Cd
1.0
-3.362 -3.803 -2.277
-0.274 1.044 5.458
-6.216 6.417 -1.539
Ta Cd
8 4
direct
0.166 0.834 0.750
0.834 0.166 0.250
0.834 0.668 0.250
0.000 0.000 0.500
0.166 0.332 0.750
0.668 0.834 0.750
0.000 0.000 0.000
0.332 0.166 0.250
0.333 0.667 0.436
0.667 0.333 0.936
0.333 0.667 0.064
0.667 0.333 0.564
```

## Properties
For the density of states at the Fermi level, the calculation gives 1.06 states/eV per atom. For the formation energy, the calculation gives 0.5137 eV/atom. The density is 13.0 g/cm³.

[12]
Density functional theory data (PBE-GGA) for Rb2TcPI6 after structural relaxation.

```
Rb2TcPI6
1.0
8.165 0.000 0.000
0.000 8.165 0.000
4.082 4.082 5.824
P Rb I Tc
1 2 6 1
direct
0.500 0.500 0.000
0.250 0.750 0.500
0.750 0.250 0.500
0.247 0.753 0.000
0.753 0.247 0.000
0.753 0.753 0.000
0.755 0.755 0.490
0.245 0.245 0.510
0.247 0.247 0.000
0.000 0.000 0.000
```

## Properties
For the density of states at the Fermi level, the calculation gives 0.43 states/eV per atom. The calculation puts the uncorrected formation energy at -0.39 eV/atom. The density is 4.5 g/cm³.

[13]
Density functional theory data (PBE-GGA) for LaMnAg2Cl8 after structural relaxation.

```
LaMnAg2Cl8
1.0
6.715 -0.753 0.135
-0.781 6.604 0.781
0.228 1.004 8.023
Ag Cl Mn La
2 8 1 1
direct
0.461 0.691 0.293
0.539 0.309 0.707
0.609 0.742 0.578
0.311 0.223 0.980
0.689 0.777 0.020
0.875 0.184 0.174
0.907 0.256 0.708
0.093 0.744 0.292
0.125 0.816 0.826
0.391 0.258 0.422
0.000 0.000 0.000
0.000 0.000 0.500
```

## Properties
The calculation puts the uncorrected formation energy at -1.24 eV/atom. The density is 3.3 g/cm³.

[14]
Density functional theory data (PBE-GGA) for Tb2Mg2Zn after structural relaxation.

```
Tb2Mg2Zn
1.0
3.309 0.000 0.000
0.000 4.652 0.881
0.000 0.853 8.215
Mg Tb Zn
2 2 1
direct
0.000 0.199 0.601
0.000 0.801 0.399
0.500 0.400 0.200
0.500 0.600 0.800
0.000 0.000 0.000
```

## Properties
For the density of states at the Fermi level, the calculation gives 1.00 states/eV per atom. For the formation energy, the calculation gives -0.0435 eV/atom. The density is 5.8 g/cm³.

[15]
Density functional theory data (PBE-GGA) for CsRe3Os after structural relaxation.

```
CsRe3Os
1.0
4.765 0.000 0.000
0.000 4.765 0.000
0.000 0.000 4.765
Os Re Cs
1 3 1
direct
0.500 0.500 0.500
0.000 0.000 0.500
0.500 0.000 0.000
0.000 0.500 0.000
0.000 0.000 0.000
```

## Properties
For the density of states at the Fermi level, the calculation gives 1.02 states/eV per atom. For the formation energy, the calculation gives 4.5422 eV/atom. The density is 13.5 g/cm³.

[16]
Density functional theory data (PBE-GGA) for YHoScIr after structural relaxation.

```
YHoScIr
1.0
-0.059 5.022 0.327
-3.612 2.308 2.637
1.116 2.251 4.361
Y Ir Sc Ho
1 1 1 1
direct
0.250 0.250 0.250
0.000 0.000 0.000
0.500 0.500 0.500
0.750 0.750 0.750
```

## Properties
For the density of states at the Fermi level, the calculation gives 1.01 states/eV per atom. For the formation energy, the calculation gives -0.2634 eV/atom. The density is 9.0 g/cm³.

[17]
Density functional theory data (PBE-GGA) for Ti3TlAs after structural relaxation.

```
Ti3TlAs
1.0
-4.635 -0.042 -0.895
-0.236 -4.493 1.431
-0.864 1.449 4.409
Ti Tl As
3 1 1
direct
0.000 0.500 0.000
0.500 0.000 0.000
0.000 0.000 0.500
0.500 0.500 0.500
0.000 0.000 0.000
```

## Properties
For the density of states at the Fermi level, the calculation gives 0.62 states/eV per atom. For the formation energy, the calculation gives 0.0433 eV/atom. The density is 6.7 g/cm³.

[18]
Density functional theory data (PBE-GGA) for CaZn3In after structural relaxation.

```
CaZn3In
1.0
6.167 0.000 0.000
0.000 5.984 -0.852
0.000 1.615 11.201
Zn In Ca
12 4 4
direct
0.000 0.723 0.642
0.000 0.277 0.358
0.500 0.277 0.858
0.747 0.500 0.000
0.000 0.279 0.141
0.000 0.721 0.859
0.500 0.279 0.641
0.253 0.500 0.000
0.500 0.723 0.142
0.247 0.500 0.500
0.500 0.721 0.359
0.753 0.500 0.500
0.250 0.000 0.500
0.750 0.000 0.500
0.250 0.000 0.000
0.750 0.000 0.000
0.500 0.758 0.750
0.000 0.758 0.250
0.000 0.242 0.750
0.500 0.242 0.250
```

## Properties
For the density of states at the Fermi level, the calculation gives 0.34 states/eV per atom. For the formation energy, the calculation gives -0.2426 eV/atom. The density is 5.5 g/cm³.

[19]
Density functional theory data (PBE-GGA) for LiPuAgAu after structural relaxation.

```
LiPuAgAu
1.0
-2.970 3.894 -0.011
-4.698 -0.500 1.289
-1.590 1.878 4.234
Pu Ag Li Au
1 1 1 1
direct
0.250 0.250 0.250
0.750 0.750 0.750
0.500 0.500 0.500
0.000 0.000 0.000
```

## Properties
For the density of states at the Fermi level, the calculation gives 3.25 states/eV per atom. For the formation energy, the calculation gives -0.1210 eV/atom. The density is 11.1 g/cm³.

[20]
Density functional theory data (PBE-GGA) for AcCeYPu after structural relaxation.

```
AcCeYPu
1.0
5.744 0.000 0.000
2.872 4.974 0.000
2.872 1.658 4.690
Y Ce Pu Ac
1 1 1 1
direct
0.000 0.000 0.000
0.500 0.500 0.500
0.250 0.250 0.250
0.750 0.750 0.750
```

## Properties
For the density of states at the Fermi level, the calculation gives 3.69 states/eV per atom. For the formation energy, the calculation gives 0.2767 eV/atom. The density is 8.7 g/cm³.

[21]
Density functional theory data (PBE-GGA) for ErPu2Fe9 after structural relaxation.

```
ErPu2Fe9
1.0
4.659 0.000 1.387
2.123 4.147 1.387
-0.101 -0.062 8.861
Fe Er Pu
9 1 2
direct
0.579 0.083 0.760
0.917 0.421 0.240
0.332 0.332 0.004
0.421 0.421 0.240
0.500 0.500 0.500
0.083 0.579 0.760
0.421 0.917 0.240
0.579 0.579 0.760
0.668 0.668 0.996
0.000 0.000 0.000
0.141 0.141 0.576
0.859 0.859 0.424
```

## Properties
For the density of states at the Fermi level, the calculation gives 2.01 states/eV per atom. For the formation energy, the calculation gives -0.0167 eV/atom. The density is 11.2 g/cm³.